# 1
An optimized crystal structure of RbNdCdS3, computed with PBE.

a b c (Å): 9.0706 4.2484 10.0996
angles (deg): 90.00 106.95 90.00
Space group P2_1/m (No. 11)
One atom of each set of equivalent atoms:
Rb 0.2073 0.2500 0.2270 [2 per cell]
Nd 0.3321 0.7500 0.8617 [2 per cell]
Cd 0.0865 0.2500 0.6108 [2 per cell]
S 0.1175 0.2500 0.8652 [2 per cell]
S 0.2092 0.7500 0.5404 [2 per cell]
S 0.4623 0.7500 0.1470 [2 per cell]

Results
* spin magnetization: 0.0 μB per formula unit
* uncorrected energy: -4.55 eV per atom

# 2
An optimized crystal structure of Rb2NdCd2S4, computed with PBE.

a b c (Å): 16.5567 4.1263 8.3093
angles (deg): 90.00 113.38 90.00
Space group C2/m (No. 12)
One atom of each set of equivalent atoms:
Rb 0.1262 0.0000 0.0555 [4 per cell]
Nd 0.0000 0.0000 0.5000 [2 per cell]
Cd 0.1863 0.5000 0.5202 [4 per cell]
S 0.0268 0.5000 0.2841 [4 per cell]
S 0.1869 0.0000 0.7168 [4 per cell]

Results
* spin magnetization: 0.0 μB per formula unit
* uncorrected energy: -3.90 eV per atom

# 3
An optimized crystal structure of Rb2NdCd2Se4, computed with PBE.

a b c (Å): 16.9550 4.3015 8.5772
angles (deg): 90.00 113.06 90.00
Space group C2/m (No. 12)
One atom of each set of equivalent atoms:
Rb 0.1268 0.0000 0.0605 [4 per cell]
Nd 0.0000 0.0000 0.5000 [2 per cell]
Cd 0.1870 0.5000 0.5132 [4 per cell]
Se 0.0246 0.5000 0.2774 [4 per cell]
Se 0.1896 0.0000 0.7165 [4 per cell]

Results
* spin magnetization: 0.0 μB per formula unit
* uncorrected energy: -3.59 eV per atom

# 4
An optimized crystal structure of RbNdCdSe3, computed with PBE.

a b c (Å): 9.3716 4.3835 10.4515
angles (deg): 90.00 107.62 90.00
Space group P2_1/m (No. 11)
One atom of each set of equivalent atoms:
Rb 0.2122 0.2500 0.2343 [2 per cell]
Nd 0.3286 0.7500 0.8631 [2 per cell]
Cd 0.0852 0.2500 0.6104 [2 per cell]
Se 0.1095 0.2500 0.8673 [2 per cell]
Se 0.2165 0.7500 0.5411 [2 per cell]
Se 0.4639 0.7500 0.1530 [2 per cell]

Results
* spin magnetization: 0.0 μB per formula unit
* uncorrected energy: -4.19 eV per atom

# 5
An optimized crystal structure of Rb2NdCd2Te4, computed with PBE.

a b c (Å): 17.8293 4.5766 9.0322
angles (deg): 90.00 113.08 90.00
Space group C2/m (No. 12)
One atom of each set of equivalent atoms:
Rb 0.1273 0.0000 0.0661 [4 per cell]
Nd 0.0000 0.0000 0.5000 [2 per cell]
Cd 0.1876 0.5000 0.5031 [4 per cell]
Te 0.0222 0.5000 0.2691 [4 per cell]
Te 0.1922 0.0000 0.7138 [4 per cell]

Results
* spin magnetization: 0.0 μB per formula unit
* uncorrected energy: -3.23 eV per atom

# 6
An optimized crystal structure of Nd8CdRh2, computed with PBE.

a b c (Å): 8.7376 13.9629 5.7108
angles (deg): 90.00 105.01 90.00
Space group C2/m (No. 12)
One atom of each set of equivalent atoms:
Nd 0.0000 0.2453 0.0000 [4 per cell]
Nd 0.1050 0.5000 0.8072 [4 per cell]
Nd 0.2081 0.1249 0.5654 [8 per cell]
Cd 0.0000 0.0000 0.0000 [2 per cell]
Rh 0.0000 0.2913 0.5000 [4 per cell]

Results
* E_form: -2.8 eV per formula unit
* spin magnetization: 0.0 μB per formula unit
* uncorrected energy: -5.14 eV per atom

# 7
An optimized crystal structure of NdCdRh2, computed with PBE.

a b c (Å): 3.4511 3.4511 6.5128
angles (deg): 90.00 90.00 90.00
Space group P4/mmm (No. 123)
One atom of each set of equivalent atoms:
Nd 0.0000 0.0000 0.0000 [1 per cell]
Cd 0.0000 0.0000 0.5000 [1 per cell]
Rh 0.5000 0.5000 0.2678 [2 per cell]

Results
* E_form: -1.5 eV per formula unit
* spin magnetization: 0.0 μB per formula unit
* uncorrected energy: -5.47 eV per atom

# 8
An optimized crystal structure of Nd3Cd2Rh3, computed with PBE.

a b c (Å): 8.4484 8.4484 5.9035
angles (deg): 90.00 90.00 120.00
Space group P6_3/mcm (No. 193)
One atom of each set of equivalent atoms:
Nd 0.0000 0.2756 0.2500 [6 per cell]
Cd 0.3333 0.6667 0.0000 [4 per cell]
Rh 0.0000 0.3880 0.7500 [6 per cell]

Results
* E_form: -4.1 eV per formula unit
* spin magnetization: 0.0 μB per formula unit
* uncorrected energy: -5.29 eV per atom

# 9
An optimized crystal structure of Nd2CdRh, computed with PBE.

a b c (Å): 4.1281 4.1281 23.8807
angles (deg): 90.00 90.00 120.00
Space group R3m (No. 160, hexagonal axes)
One atom of each set of equivalent atoms:
Nd 0.0000 0.0000 0.0000 [3 per cell]
Nd 0.0000 0.0000 0.2027 [3 per cell]
Cd 0.0000 0.0000 0.4350 [3 per cell]
Rh 0.0000 0.0000 0.6001 [3 per cell]

Results
* E_form: -1.7 eV per formula unit
* relative energy among the computed polymorphs: 0.35 eV per formula unit
* spin magnetization: 0.0 μB per formula unit
* uncorrected energy: -4.87 eV per atom

# 10
An optimized crystal structure of Nd6Cd5Rh, computed with PBE.

a b c (Å): 16.8569 7.6885 5.3540
angles (deg): 90.00 108.43 90.00
Space group C2/m (No. 12)
One atom of each set of equivalent atoms:
Nd 0.0000 0.2271 0.0000 [4 per cell]
Nd 0.1547 0.2328 0.6543 [8 per cell]
Cd 0.0000 0.5000 0.5000 [2 per cell]
Cd 0.1684 0.5000 0.1678 [4 per cell]
Cd 0.1863 0.0000 0.1858 [4 per cell]
Rh 0.0000 0.0000 0.5000 [2 per cell]

Results
* E_form: -4.5 eV per formula unit
* spin magnetization: 0.0 μB per formula unit
* uncorrected energy: -3.76 eV per atom

# 11
An optimized crystal structure of NdCd11Rh, computed with PBE.

a b c (Å): 5.6616 14.2966 7.6216
angles (deg): 90.00 111.56 90.00
Space group C2/m (No. 12)
One atom of each set of equivalent atoms:
Nd 0.0000 0.0000 0.0000 [2 per cell]
Cd 0.0000 0.0000 0.5000 [2 per cell]
Cd 0.0983 0.3967 0.2153 [8 per cell]
Cd 0.1953 0.1686 0.3589 [8 per cell]
Cd 0.2500 0.2500 0.0000 [4 per cell]
Rh 0.0000 0.5000 0.5000 [2 per cell]

Results
* E_form: -1.9 eV per formula unit
* spin magnetization: 0.0 μB per formula unit
* uncorrected energy: -1.85 eV per atom

# 12
An optimized crystal structure of Nd2CdRh, computed with PBE.

a b c (Å): 7.3880 7.3880 7.3880
angles (deg): 90.00 90.00 90.00
Space group Fm-3m (No. 225)
One atom of each set of equivalent atoms:
Nd 0.2500 0.2500 0.2500 [8 per cell]
Cd 0.0000 0.0000 0.0000 [4 per cell]
Rh 0.0000 0.0000 0.5000 [4 per cell]

Results
* E_form: -1.7 eV per formula unit
* relative energy among the computed polymorphs: 0.35 eV per formula unit
* spin magnetization: 0.0 μB per formula unit
* uncorrected energy: -4.87 eV per atom

# 13
An optimized crystal structure of Nd12Cd6Rh, computed with PBE.

a b c (Å): 11.6131 11.6131 14.3358
angles (deg): 90.00 90.00 120.00
Space group R-3 (No. 148, hexagonal axes)
One atom of each set of equivalent atoms:
Nd 0.0370 0.8532 0.3291 [18 per cell]
Nd 0.0643 0.2110 0.9057 [18 per cell]
Cd 0.0362 0.5953 0.2054 [18 per cell]
Rh 0.0000 0.0000 0.5000 [3 per cell]

Results
* E_form: -2.8 eV per formula unit
* spin magnetization: 0.0 μB per formula unit
* uncorrected energy: -3.83 eV per atom

# 14
An optimized crystal structure of Nd2CdRh, computed with PBE.

a b c (Å): 3.9649 14.7215 7.4809
angles (deg): 90.00 90.00 90.00
Space group Cmcm (No. 63)
One atom of each set of equivalent atoms:
Nd 0.0000 0.1395 0.0021 [8 per cell]
Cd 0.0000 0.4939 0.7500 [4 per cell]
Rh 0.0000 0.2948 0.7500 [4 per cell]

Results
* E_form: -2.0 eV per formula unit
* relative energy among the computed polymorphs: 0.00 eV per formula unit
* spin magnetization: 0.0 μB per formula unit
* uncorrected energy: -4.96 eV per atom

# 15
An optimized crystal structure of Nd4Cd3Rh, computed with PBE.

a b c (Å): 3.7281 3.7281 15.5217
angles (deg): 90.00 90.00 90.00
Space group P4/mmm (No. 123)
One atom of each set of equivalent atoms:
Nd 0.0000 0.0000 0.1057 [2 per cell]
Nd 0.0000 0.0000 0.3705 [2 per cell]
Cd 0.5000 0.5000 0.2420 [2 per cell]
Cd 0.5000 0.5000 0.5000 [1 per cell]
Rh 0.5000 0.5000 0.0000 [1 per cell]

Results
* E_form: -3.2 eV per formula unit
* spin magnetization: 0.3 μB per formula unit
* uncorrected energy: -4.04 eV per atom

# 16
An optimized crystal structure of Nd2CdRh, computed with PBE.

a b c (Å): 7.2449 3.6311 7.7606
angles (deg): 90.00 90.00 90.00
Space group Pmma (No. 51)
One atom of each set of equivalent atoms:
Nd 0.0030 0.0000 0.2185 [4 per cell]
Cd 0.2500 0.5000 0.5070 [2 per cell]
Rh 0.2500 0.5000 0.9788 [2 per cell]

Results
* E_form: -2.0 eV per formula unit
* relative energy among the computed polymorphs: 0.07 eV per formula unit
* spin magnetization: 0.0 μB per formula unit
* uncorrected energy: -4.94 eV per atom

# 17
An optimized crystal structure of Nd2Cd2Rh15, computed with PBE.

a b c (Å): 9.1124 9.1124 13.3054
angles (deg): 90.00 90.00 120.00
Space group R-3m (No. 166, hexagonal axes)
One atom of each set of equivalent atoms:
Nd 0.0000 0.0000 0.1518 [6 per cell]
Cd 0.0000 0.0000 0.3974 [6 per cell]
Rh 0.0000 0.3034 0.5000 [18 per cell]
Rh 0.0000 0.5000 0.0000 [9 per cell]
Rh 0.0046 0.5023 0.6514 [18 per cell]

Results
* E_form: -3.4 eV per formula unit
* spin magnetization: 0.0 μB per formula unit
* uncorrected energy: -6.58 eV per atom

# 18
An optimized crystal structure of Nd7Cd2Rh2, computed with PBE.

a b c (Å): 3.8546 15.6758 10.7386
angles (deg): 90.00 90.00 90.00
Space group Imm2 (No. 44)
One atom of each set of equivalent atoms:
Nd 0.0000 0.0000 0.0000 [2 per cell]
Nd 0.0000 0.1698 0.5080 [4 per cell]
Nd 0.0000 0.3439 0.3034 [4 per cell]
Nd 0.0000 0.3578 0.7095 [4 per cell]
Cd 0.0000 0.0000 0.6942 [2 per cell]
Cd 0.0000 0.5000 0.9591 [2 per cell]
Rh 0.0000 0.1923 0.0169 [4 per cell]

Results
* E_form: -3.6 eV per formula unit
* relative energy among the computed polymorphs: 0.00 eV per formula unit
* spin magnetization: 0.0 μB per formula unit
* uncorrected energy: -4.86 eV per atom

# 19
An optimized crystal structure of Nd5Cd4Rh, computed with PBE.

a b c (Å): 3.7466 3.7466 19.4465
angles (deg): 90.00 90.00 90.00
Space group P4/mmm (No. 123)
One atom of each set of equivalent atoms:
Nd 0.0000 0.0000 0.0000 [1 per cell]
Nd 0.0000 0.0000 0.2066 [2 per cell]
Nd 0.0000 0.0000 0.4162 [2 per cell]
Cd 0.5000 0.5000 0.1031 [2 per cell]
Cd 0.5000 0.5000 0.3081 [2 per cell]
Rh 0.5000 0.5000 0.5000 [1 per cell]

Results
* E_form: -3.8 eV per formula unit
* spin magnetization: 0.4 μB per formula unit
* uncorrected energy: -3.87 eV per atom

# 20
An optimized crystal structure of Nd3CdRh3, computed with PBE.

a b c (Å): 4.4254 10.4871 13.8965
angles (deg): 90.00 90.00 90.00
Space group Cmcm (No. 63)
One atom of each set of equivalent atoms:
Nd 0.0000 0.0246 0.2500 [4 per cell]
Nd 0.0000 0.3049 0.1049 [8 per cell]
Cd 0.0000 0.0000 0.0000 [4 per cell]
Rh 0.0000 0.2458 0.7500 [4 per cell]
Rh 0.0000 0.4024 0.5949 [8 per cell]

Results
* E_form: -4.4 eV per formula unit
* relative energy among the computed polymorphs: 0.00 eV per formula unit
* spin magnetization: 0.0 μB per formula unit
* uncorrected energy: -5.95 eV per atom

# 21
An optimized crystal structure of Nd7Cd2Rh2, computed with PBE.

a b c (Å): 8.1794 11.3392 7.3733
angles (deg): 90.00 90.00 90.00
Space group Cmmm (No. 65)
One atom of each set of equivalent atoms:
Nd 0.0000 0.0000 0.0000 [2 per cell]
Nd 0.0000 0.5000 0.2450 [4 per cell]
Nd 0.2500 0.2500 0.2533 [8 per cell]
Cd 0.1721 0.0000 0.5000 [4 per cell]
Rh 0.0000 0.2902 0.0000 [4 per cell]

Results
* E_form: -3.3 eV per formula unit
* relative energy among the computed polymorphs: 0.27 eV per formula unit
* spin magnetization: 0.0 μB per formula unit
* uncorrected energy: -4.84 eV per atom